This record from the Open Quantum Materials Database describes a geometry-optimized SmTm2 structure. The functional is PBE.

a b c (Å): 10.166 10.166 10.166
angles (deg): 60.00 60.00 60.00
Fractional positions:
Sm  0.125  0.125  0.125
Sm  0.875  0.875  0.875
Tm  0.000  0.000  0.000
Tm  0.000  0.000  0.500
Tm  0.000  0.500  0.000
Tm  0.500  0.000  0.000

Computed properties:
**Relative energy among the computed polymorphs**: 3122.2 meV/atom
**Uncorrected energy**: -1.436 eV/atom
**DFT formation energy**: 3.118 eV per atom



This record from the Open Quantum Materials Database describes a geometry-optimized Sm2Tm structure. The functional is PBE.

a b c (Å): 6.574 6.574 6.574
angles (deg): 60.00 60.00 60.00
Fractional positions:
Sm  0.000  0.000  0.000
Sm  0.000  0.000  0.500
Sm  0.000  0.500  0.000
Sm  0.500  0.000  0.000
Tm  0.375  0.375  0.375
Tm  0.625  0.625  0.625

Computed properties:
**Relative energy among the computed polymorphs**: 0.0 meV/atom
**Uncorrected energy**: -4.373 eV/atom
**DFT formation energy**: 0.259 eV per atom



This record from the Open Quantum Materials Database describes a geometry-optimized SmTmW structure. The functional is PBE.

a b c (Å): 4.877 4.877 4.877
angles (deg): 60.00 60.00 60.00
Fractional positions:
Sm  0.000  0.000  0.000
Tm  0.500  0.500  0.500
W  0.250  0.250  0.250

Computed properties:
**Relative energy among the computed polymorphs**: 0.0 meV/atom
**Uncorrected energy**: -6.533 eV/atom
**DFT formation energy**: 0.849 eV per atom



This record from the Open Quantum Materials Database describes a geometry-optimized SmYTm structure. The functional is PBE.

a b c (Å): 5.430 5.430 5.430
angles (deg): 60.00 60.00 60.00
Fractional positions:
Sm  0.000  0.000  0.000
Y  0.500  0.500  0.500
Tm  0.250  0.250  0.250

Computed properties:
**Relative energy among the computed polymorphs**: 0.0 meV/atom
**Uncorrected energy**: -4.506 eV/atom
**DFT formation energy**: 0.711 eV per atom



This record from the Open Quantum Materials Database describes a geometry-optimized SmTmZn4 structure. The functional is PBE.

a b c (Å): 3.463 4.487 7.783
angles (deg): 90.00 90.00 90.00
Fractional positions:
Sm  0.000  0.000  0.000
Tm  0.000  0.500  0.500
Zn  0.500  0.000  0.338
Zn  0.500  0.000  0.662
Zn  0.500  0.500  0.173
Zn  0.500  0.500  0.827

Computed properties:
**Uncorrected energy**: -2.743 eV/atom
**DFT formation energy**: -0.369 eV per atom



This record from the Open Quantum Materials Database describes a geometry-optimized SmTmZr structure. The functional is PBE.

a b c (Å): 5.178 5.178 5.178
angles (deg): 60.00 60.00 60.00
Fractional positions:
Sm  0.000  0.000  0.000
Tm  0.250  0.250  0.250
Zr  0.500  0.500  0.500

Computed properties:
**Relative energy among the computed polymorphs**: 0.0 meV/atom
**Uncorrected energy**: -4.986 eV/atom
**DFT formation energy**: 0.925 eV per atom